No. 1
Density functional theory data (GGA-PBE) for crystalline RbPb6 at its relaxed geometry.

Cell and atoms, written as POSCAR:
```
RbPb6
1.0
7.5316 0.0000 0.0000
-2.5105 7.1009 0.0000
-2.5105 -3.5504 6.1496
Pb Rb
6 1
direct
0.2500 0.5000 0.7500
0.5000 0.7500 0.2500
0.5000 0.2500 0.7500
0.2500 0.7500 0.5000
0.7500 0.2500 0.5000
0.7500 0.5000 0.2500
0.0000 0.0000 0.0000
```

Values from the calculation:
Volume, Å³/cell: 329
Space group: Im-3m (229)
Magnetic moment, μB per atom: 0.0000
Energy above the lowest structure with this stoichiometry, eV per formula unit: 1.202
Total DFT energy (no corrections), hartree per atom: -0.116
Energy relative to the elements, eV/atom: 0.149


No. 2
Density functional theory data (GGA-PBE) for crystalline Cs2ScMnBr6 at its relaxed geometry.

Cell and atoms, written as POSCAR:
```
Cs2ScMnBr6
1.0
7.7175 0.0000 0.0000
0.0000 7.7175 0.0000
3.8588 3.8588 5.4574
Br Cs Mn Sc
6 2 1 1
direct
0.2498 0.2498 0.0000
0.7502 0.7502 0.4995
0.7502 0.2498 0.0000
0.2498 0.2498 0.5005
0.7502 0.7502 0.0000
0.2498 0.7502 0.0000
0.2500 0.7500 0.5000
0.7500 0.2500 0.5000
0.0000 0.0000 0.0000
0.5000 0.5000 0.0000
```

Values from the calculation:
Volume, Å³/cell: 325
Space group: Fm-3m (225)
Energy relative to the elements, uncorrected, eV per atom: -1.413
Magnetic moment, μB per atom: 0.4000
Total DFT energy (no corrections), hartree per atom: -0.152